(1)
Material: LaBeInPd
Method: DFT, PBE
State: optimized geometry

Results
Mass density, g cm⁻³: 7.21
Crystal system: cubic
Excess energy over the best structure of this formula in the dataset, meV per atom: 203.5
E_tot, eV/atom: -4.25

Cell lengths 6.9794, 6.9794, 6.9794 Å; angles 90.00, 90.00, 90.00 degrees
Closest atoms and distances in Å follow each position.
Atoms (fractional coordinates):
1 La 0.0000 0.0000 0.0000  4 In 3.02, 4 Pd 3.02
2 La 0.0000 0.5000 0.5000  4 In 3.02, 4 Pd 3.02
3 La 0.5000 0.0000 0.5000  4 In 3.02, 4 Pd 3.02
4 La 0.5000 0.5000 0.0000  4 In 3.02, 4 Pd 3.02
5 Be 0.0000 0.0000 0.5000  4 In 3.02, 4 Pd 3.02
6 Be 0.0000 0.5000 0.0000  4 In 3.02, 4 Pd 3.02
7 Be 0.5000 0.0000 0.0000  4 In 3.02, 4 Pd 3.02
8 Be 0.5000 0.5000 0.5000  4 In 3.02, 4 Pd 3.02
9 In 0.2500 0.2500 0.7500  4 Be 3.02, 4 La 3.02
10 In 0.2500 0.7500 0.2500  4 Be 3.02, 4 La 3.02
11 In 0.7500 0.2500 0.2500  4 Be 3.02, 4 La 3.02
12 In 0.7500 0.7500 0.7500  4 Be 3.02, 4 La 3.02
13 Pd 0.2500 0.2500 0.2500  4 La 3.02, 4 Be 3.02
14 Pd 0.2500 0.7500 0.7500  4 La 3.02, 4 Be 3.02
15 Pd 0.7500 0.2500 0.7500  4 La 3.02, 4 Be 3.02
16 Pd 0.7500 0.7500 0.2500  4 La 3.02, 4 Be 3.02

(2)
Material: LiBeInNi
Method: DFT, PBE
State: optimized geometry

Results
Mass density, g cm⁻³: 6.05
Crystal system: cubic
Excess energy over the best structure of this formula in the dataset, meV per atom: 0.0
E_tot, eV/atom: -3.56

Cell lengths 5.9267, 5.9267, 5.9267 Å; angles 90.00, 90.00, 90.00 degrees
Closest atoms and distances in Å follow each position.
Atoms (fractional coordinates):
1 Li 0.0000 0.0000 0.0000  4 In 2.57, 4 Be 2.57
2 Li 0.0000 0.5000 0.5000  4 In 2.57, 4 Be 2.57
3 Li 0.5000 0.0000 0.5000  4 In 2.57, 4 Be 2.57
4 Li 0.5000 0.5000 0.0000  4 In 2.57, 4 Be 2.57
5 Be 0.2500 0.2500 0.2500  4 Li 2.57, 4 Ni 2.57
6 Be 0.2500 0.7500 0.7500  4 Li 2.57, 4 Ni 2.57
7 Be 0.7500 0.2500 0.7500  4 Li 2.57, 4 Ni 2.57
8 Be 0.7500 0.7500 0.2500  4 Li 2.57, 4 Ni 2.57
9 In 0.2500 0.2500 0.7500  4 Li 2.57, 4 Ni 2.57
10 In 0.2500 0.7500 0.2500  4 Li 2.57, 4 Ni 2.57
11 In 0.7500 0.2500 0.2500  4 Li 2.57, 4 Ni 2.57
12 In 0.7500 0.7500 0.7500  4 Li 2.57, 4 Ni 2.57
13 Ni 0.0000 0.0000 0.5000  4 In 2.57, 4 Be 2.57
14 Ni 0.0000 0.5000 0.0000  4 In 2.57, 4 Be 2.57
15 Ni 0.5000 0.0000 0.0000  4 In 2.57, 4 Be 2.57
16 Ni 0.5000 0.5000 0.5000  4 In 2.57, 4 Be 2.57

(3)
Material: LiBeInNi
Method: DFT, PBE
State: optimized geometry

Results
Mass density, g cm⁻³: 5.91
Crystal system: cubic
Excess energy over the best structure of this formula in the dataset, meV per atom: 90.9
E_tot, eV/atom: -3.47

Cell lengths 5.9722, 5.9722, 5.9722 Å; angles 90.00, 90.00, 90.00 degrees
Closest atoms and distances in Å follow each position.
Atoms (fractional coordinates):
1 Li 0.0000 0.0000 0.0000  4 Ni 2.59, 4 Be 2.59
2 Li 0.0000 0.5000 0.5000  4 Ni 2.59, 4 Be 2.59
3 Li 0.5000 0.0000 0.5000  4 Ni 2.59, 4 Be 2.59
4 Li 0.5000 0.5000 0.0000  4 Ni 2.59, 4 Be 2.59
5 Be 0.2500 0.2500 0.2500  4 In 2.59, 4 Li 2.59
6 Be 0.2500 0.7500 0.7500  4 In 2.59, 4 Li 2.59
7 Be 0.7500 0.2500 0.7500  4 In 2.59, 4 Li 2.59
8 Be 0.7500 0.7500 0.2500  4 In 2.59, 4 Li 2.59
9 In 0.0000 0.0000 0.5000  4 Ni 2.59, 4 Be 2.59
10 In 0.0000 0.5000 0.0000  4 Ni 2.59, 4 Be 2.59
11 In 0.5000 0.0000 0.0000  4 Ni 2.59, 4 Be 2.59
12 In 0.5000 0.5000 0.5000  4 Be 2.59, 4 Ni 2.59
13 Ni 0.2500 0.2500 0.7500  4 In 2.59, 4 Li 2.59
14 Ni 0.2500 0.7500 0.2500  4 In 2.59, 4 Li 2.59
15 Ni 0.7500 0.2500 0.2500  4 In 2.59, 4 Li 2.59
16 Ni 0.7500 0.7500 0.7500  4 In 2.59, 4 Li 2.59

(4)
Material: LiBeZnIn
Method: DFT, PBE
State: optimized geometry

Results
Mass density, g cm⁻³: 5.57
Crystal system: cubic
Excess energy over the best structure of this formula in the dataset, meV per atom: 0.0
E_tot, eV/atom: -2.34

Cell lengths 6.1630, 6.1630, 6.1630 Å; angles 90.00, 90.00, 90.00 degrees
Closest atoms and distances in Å follow each position.
Atoms (fractional coordinates):
1 Li 0.0000 0.0000 0.0000  4 In 2.67, 4 Zn 2.67
2 Li 0.0000 0.5000 0.5000  4 In 2.67, 4 Zn 2.67
3 Li 0.5000 0.0000 0.5000  4 In 2.67, 4 Zn 2.67
4 Li 0.5000 0.5000 0.0000  4 In 2.67, 4 Zn 2.67
5 Be 0.0000 0.0000 0.5000  4 Zn 2.67, 4 In 2.67
6 Be 0.0000 0.5000 0.0000  4 Zn 2.67, 4 In 2.67
7 Be 0.5000 0.0000 0.0000  4 Zn 2.67, 4 In 2.67
8 Be 0.5000 0.5000 0.5000  4 Zn 2.67, 4 In 2.67
9 Zn 0.2500 0.2500 0.7500  4 Li 2.67, 4 Be 2.67
10 Zn 0.2500 0.7500 0.2500  4 Li 2.67, 4 Be 2.67
11 Zn 0.7500 0.2500 0.2500  4 Li 2.67, 4 Be 2.67
12 Zn 0.7500 0.7500 0.7500  4 Li 2.67, 4 Be 2.67
13 In 0.2500 0.2500 0.2500  4 Be 2.67, 4 Li 2.67
14 In 0.2500 0.7500 0.7500  4 Be 2.67, 4 Li 2.67
15 In 0.7500 0.2500 0.7500  4 Be 2.67, 4 Li 2.67
16 In 0.7500 0.7500 0.2500  4 Be 2.67, 4 Li 2.67